This record from Alexandria via LeMat-Bulk describes a relaxed TiInSi3 crystal. The functional is PBEsol.

Lattice parameters (Å, degrees): 4.945 4.945 4.945 90.00 90.00 90.00
Last column: magnetic moment on the atom in μB.
Atoms (fractional coordinates):
Si1 0.000 0.500 0.000  0.00
Si2 0.000 0.000 0.500  0.00
Si3 0.500 0.000 0.000  0.00
Ti1 0.500 0.500 0.500  1.50
In1 0.000 0.000 0.000  0.02

Crystal system = cubic
Formation energy (no corrections) = 1.48 eV/atom
Calculated density = 3.39 Mg/m³
Space-group type = Pm-3m (221)